The following is a PBE calculation of CeNpPdO6 after structural relaxation, from Alexandria via LeMat-Bulk.

Cell and atoms, written as CIF:
```
data_CeNpPdO6
_chemical_formula_sum 'Ce2 Np2 Pd2 O12'
_symmetry_space_group_name_H-M 'P -3 1 c'
_symmetry_Int_Tables_number 163
_symmetry_space_group_name_Hall '-P 3 2c'
_cell_length_a 5.4151
_cell_length_b 5.4151
_cell_length_c 10.2218
_cell_angle_alpha 90.00
_cell_angle_beta 90.00
_cell_angle_gamma 120.00
loop_
_atom_site_label
_atom_site_type_symbol
_atom_site_fract_x
_atom_site_fract_y
_atom_site_fract_z
_atom_site_occupancy
Ce1 Ce 0.0000 0.0000 0.0000 1
Np1 Np 0.3333 0.6667 0.2500 1
Pd1 Pd 0.3333 0.6667 0.7500 1
O1 O 0.0157 0.3480 0.1340 1
```

formation energy (no corrections)	-225	kJ/mol of atoms



The following is a PBE calculation of Tb3Hg6Pb2 after structural relaxation, from Alexandria via LeMat-Bulk.

Cell and atoms, written as CIF:
```
data_Tb3Hg6Pb2
_chemical_formula_sum 'Tb6 Hg12 Pb4'
_symmetry_space_group_name_H-M 'I 4/m m m'
_symmetry_Int_Tables_number 139
_symmetry_space_group_name_Hall '-I 4 2'
_cell_length_a 4.4772
_cell_length_b 4.4772
_cell_length_c 31.6049
_cell_angle_alpha 90.00
_cell_angle_beta 90.00
_cell_angle_gamma 90.00
loop_
_atom_site_label
_atom_site_type_symbol
_atom_site_fract_x
_atom_site_fract_y
_atom_site_fract_z
_atom_site_occupancy
Tb1 Tb 0.0000 0.0000 0.0000 1
Tb2 Tb 0.0000 0.0000 0.1521 1
Hg1 Hg 0.0000 0.0000 0.2493 1
Hg2 Hg 0.0000 0.5000 0.0700 1
Pb1 Pb 0.0000 0.0000 0.3507 1
```

energy of formation from the pure elements	-0.223	eV per atom



Number 1: volume 14.42 A^3/atom, total energy -149.635 eV for the cell shown. Number 2: volume 28.80 A^3/atom, total energy -51.144 eV for the cell shown.